Record 1
DFT (PBE-GGA) results for a relaxed ScFeCuPb crystal.

Properties
* mass density: 8.761 g/cm3
* energy: -5.297 eV/atom
* magnetic moment: 2.20 Bohr magnetons per cell

The structure in CIF format:
```
data_ScFeCuPb
_space_group_name_H-M_alt 'P 1'
_space_group_IT_number 1
_cell_length_a 4.635
_cell_length_b 4.635
_cell_length_c 4.635
_cell_angle_alpha 60.00
_cell_angle_beta 60.00
_cell_angle_gamma 60.00
loop_
_space_group_symop_operation_xyz
'x,y,z'
loop_
_atom_site_label
_atom_site_type_symbol
_atom_site_fract_x
_atom_site_fract_y
_atom_site_fract_z
Sc1 Sc 0.500 0.500 0.500
Cu1 Cu 0.000 0.000 0.000
Fe1 Fe 0.750 0.750 0.750
Pb1 Pb 0.250 0.250 0.250
```



Record 2
DFT (PBE-GGA) results for a relaxed TaFeCuPb crystal.

Properties
* mass density: 12.503 g/cm3
* energy: -6.301 eV/atom
* magnetic moment: 1.70 Bohr magnetons per cell

The structure in CIF format:
```
data_TaFeCuPb
_space_group_name_H-M_alt 'P 1'
_space_group_IT_number 1
_cell_length_a 4.568
_cell_length_b 4.568
_cell_length_c 4.568
_cell_angle_alpha 60.00
_cell_angle_beta 60.00
_cell_angle_gamma 60.00
loop_
_space_group_symop_operation_xyz
'x,y,z'
loop_
_atom_site_label
_atom_site_type_symbol
_atom_site_fract_x
_atom_site_fract_y
_atom_site_fract_z
Fe1 Fe 0.000 0.000 0.000
Cu1 Cu 0.750 0.750 0.750
Pb1 Pb 0.500 0.500 0.500
Ta1 Ta 0.250 0.250 0.250
```



Record 3
DFT (PBE-GGA) results for a relaxed TaFeCuPb crystal.

Properties
* mass density: 13.482 g/cm3
* energy: -6.507 eV/atom
* magnetic moment: 0.00 Bohr magnetons per cell

The structure in CIF format:
```
data_TaFeCuPb
_space_group_name_H-M_alt 'P 1'
_space_group_IT_number 1
_cell_length_a 4.455
_cell_length_b 4.455
_cell_length_c 4.455
_cell_angle_alpha 60.00
_cell_angle_beta 60.00
_cell_angle_gamma 60.00
loop_
_space_group_symop_operation_xyz
'x,y,z'
loop_
_atom_site_label
_atom_site_type_symbol
_atom_site_fract_x
_atom_site_fract_y
_atom_site_fract_z
Cu1 Cu 0.750 0.750 0.750
Pb1 Pb 0.000 0.000 0.000
Fe1 Fe 0.250 0.250 0.250
Ta1 Ta 0.500 0.500 0.500
```



Record 4
DFT (PBE-GGA) results for a relaxed TaFeCuPb crystal.

Properties
* mass density: 12.620 g/cm3
* energy: -6.244 eV/atom
* magnetic moment: 1.82 Bohr magnetons per cell

The structure in CIF format:
```
data_TaFeCuPb
_space_group_name_H-M_alt 'P 1'
_space_group_IT_number 1
_cell_length_a 4.554
_cell_length_b 4.554
_cell_length_c 4.554
_cell_angle_alpha 60.00
_cell_angle_beta 60.00
_cell_angle_gamma 60.00
loop_
_space_group_symop_operation_xyz
'x,y,z'
loop_
_atom_site_label
_atom_site_type_symbol
_atom_site_fract_x
_atom_site_fract_y
_atom_site_fract_z
Fe1 Fe 0.500 0.500 0.500
Ta1 Ta 0.000 0.000 0.000
Cu1 Cu 0.750 0.750 0.750
Pb1 Pb 0.250 0.250 0.250
```



Record 5
DFT (PBE-GGA) results for a relaxed FeCuTcPb crystal.

Properties
* mass density: 11.180 g/cm3
* energy: -5.963 eV/atom
* magnetic moment: 3.22 Bohr magnetons per cell

The structure in CIF format:
```
data_FeCuTcPb
_space_group_name_H-M_alt 'P 1'
_space_group_IT_number 1
_cell_length_a 4.468
_cell_length_b 4.468
_cell_length_c 4.468
_cell_angle_alpha 60.00
_cell_angle_beta 60.00
_cell_angle_gamma 60.00
loop_
_space_group_symop_operation_xyz
'x,y,z'
loop_
_atom_site_label
_atom_site_type_symbol
_atom_site_fract_x
_atom_site_fract_y
_atom_site_fract_z
Cu1 Cu 0.750 0.750 0.750
Pb1 Pb 0.000 0.000 0.000
Tc1 Tc 0.250 0.250 0.250
Fe1 Fe 0.500 0.500 0.500
```



Record 6
DFT (PBE-GGA) results for a relaxed ZrFeCuPb crystal.

Properties
* mass density: 10.082 g/cm3
* energy: -5.971 eV/atom
* magnetic moment: 1.41 Bohr magnetons per cell

The structure in CIF format:
```
data_ZrFeCuPb
_space_group_name_H-M_alt 'P 1'
_space_group_IT_number 1
_cell_length_a 4.600
_cell_length_b 4.600
_cell_length_c 4.600
_cell_angle_alpha 60.00
_cell_angle_beta 60.00
_cell_angle_gamma 60.00
loop_
_space_group_symop_operation_xyz
'x,y,z'
loop_
_atom_site_label
_atom_site_type_symbol
_atom_site_fract_x
_atom_site_fract_y
_atom_site_fract_z
Fe1 Fe 0.250 0.250 0.250
Pb1 Pb 0.000 0.000 0.000
Cu1 Cu 0.750 0.750 0.750
Zr1 Zr 0.500 0.500 0.500
```



Which of these has the highest energy? ScFeCuPb



Which of these has the lowest energy? number 3



What is the formula in the third record? TaFeCuPb



Number 1 is which compound? ScFeCuPb